An optimized crystal structure of LaS2Cl. Source: the Alexandria database, functional PBE.

Polymorph energy (0 for the lowest one) = 1782 meV per atom
Raw formation energy = 1.6 eV per formula unit
Size of the total moment = 0.99 μB per cell
Mass density = 3.175 g/cm3

Cell and atoms, written as POSCAR:
```
LaS2Cl
1.0
4.0794 0.0000 0.0000
-2.0397 3.5328 0.0000
0.0000 0.0000 25.9603
La S Cl
3 6 3
Direct
0.0000 0.0000 0.0000
0.3333 0.6667 0.6667
0.6667 0.3333 0.3333
0.0000 0.0000 0.0961
0.0000 0.0000 0.9039
0.3333 0.6667 0.5706
0.3333 0.6667 0.7627
0.6667 0.3333 0.2373
0.6667 0.3333 0.4294
0.0000 0.0000 0.5000
0.3333 0.6667 0.1667
0.6667 0.3333 0.8333
```